Record 1
The following is a DFT calculation (PBE) of a relaxed Tm2BeGa3 crystal.

Results
spin magnetization = 0.00 μB per atom
energy above the most stable polymorph in this dataset = 0.000 eV per atom
crystal system = orthorhombic

Cell: 5.5739 5.5739 8.1512 Å, 106.99 106.99 98.36°
Fractional positions:
Be: 0.3331 0.3331 0.6661
Be: 0.6669 0.6669 0.3339
Tm: 0.7537 0.7537 0.0000
Tm: 0.2500 0.7500 0.5000
Tm: 0.7500 0.2500 0.5000
Tm: 0.2463 0.2463 0.0000
Ga: 0.8265 0.8265 0.6530
Ga: 0.6523 0.1740 0.8264
Ga: 0.1740 0.6523 0.8264
Ga: 0.8260 0.3477 0.1736
Ga: 0.1735 0.1735 0.3470
Ga: 0.3477 0.8260 0.1736


Record 2
The following is a DFT calculation (PBE) of a relaxed Tm2BeGa3 crystal.

Results
spin magnetization = 0.00 μB per atom
energy above the most stable polymorph in this dataset = 0.006 eV per atom
crystal system = orthorhombic

Cell: 3.7164 4.1851 7.2512 Å, 90.00 90.00 90.00°
Fractional positions:
Tm: 0.0000 0.0000 0.4957
Tm: 0.0000 0.5000 0.0068
Be: 0.5000 0.5000 0.3297
Ga: 0.5000 0.5000 0.6487
Ga: 0.5000 0.0000 0.1826
Ga: 0.5000 0.0000 0.8365


Record 3
The following is a DFT calculation (PBE) of a relaxed TmBeGa2 crystal.

Results
spin magnetization = 0.00 μB per atom
energy above the most stable polymorph in this dataset = 0.000 eV per atom
crystal system = trigonal

Cell: 3.9721 3.9721 5.6071 Å, 69.26 69.26 60.00°
Fractional positions:
Ga: 0.2155 0.2155 0.3535
Ga: 0.7845 0.7845 0.6465
Be: 0.5000 0.5000 0.5000
Tm: 0.0000 0.0000 0.0000


Record 4
The following is a DFT calculation (PBE) of a relaxed TmBeGa2 crystal.

Results
spin magnetization = 0.00 μB per atom
energy above the most stable polymorph in this dataset = 0.082 eV per atom
crystal system = tetragonal

Cell: 4.1311 4.0710 4.0710 Å, 90.00 90.00 90.00°
Fractional positions:
Ga: 0.0000 0.0000 0.5000
Ga: 0.0000 0.5000 0.0000
Tm: 0.5000 0.0000 0.0000
Be: 0.5000 0.5000 0.5000


Record 5
The following is a DFT calculation (PBE) of a relaxed U2Be25Ga crystal.

Results
spin magnetization = 0.17 μB per atom
crystal system = cubic

Cell: 7.2877 7.2877 7.2877 Å, 60.00 60.00 60.00°
Fractional positions:
Be: 0.5627 0.4373 0.7863
Be: 0.4373 0.7863 0.5627
Be: 0.6936 0.9420 0.3064
Be: 0.2137 0.5627 0.7863
Be: 0.0580 0.9420 0.6936
Be: 0.7863 0.2137 0.5627
Be: 0.0580 0.6936 0.3064
Be: 0.6936 0.0580 0.9420
Be: 0.7863 0.4373 0.2137
Be: 0.9420 0.3064 0.6936
Be: 0.9420 0.6936 0.0580
Be: 0.5627 0.7863 0.2137
Be: 0.2137 0.7863 0.4373
Be: 0.9420 0.0580 0.3064
Be: 0.2137 0.4373 0.5627
Be: 0.3064 0.6936 0.9420
Be: 0.4373 0.2137 0.7863
Be: 0.3064 0.9420 0.0580
Be: 0.6936 0.3064 0.0580
Be: 0.5000 0.5000 0.5000
Be: 0.7863 0.5627 0.4373
Be: 0.4373 0.5627 0.2137
Be: 0.0580 0.3064 0.9420
Be: 0.3064 0.0580 0.6936
Be: 0.5627 0.2137 0.4373
Ga: 0.0000 0.0000 0.0000
U: 0.7500 0.7500 0.7500
U: 0.2500 0.2500 0.2500


Record 6
The following is a DFT calculation (PBE) of a relaxed UBeGa5 crystal.

Results
spin magnetization = 0.34 μB per atom
crystal system = tetragonal

Cell: 4.2972 4.2972 6.7121 Å, 90.00 90.00 90.00°
Fractional positions:
Ga: 0.5000 0.0000 0.3054
Ga: 0.5000 0.0000 0.6946
Ga: 0.5000 0.5000 0.0000
Ga: 0.0000 0.5000 0.6946
Ga: 0.0000 0.5000 0.3054
Be: 0.0000 0.0000 0.5000
U: 0.0000 0.0000 0.0000


Record 7
The following is a DFT calculation (PBE) of a relaxed UBe2Ga crystal.

Results
spin magnetization = 0.62 μB per atom
crystal system = trigonal

Cell: 3.8232 3.8232 5.3204 Å, 68.94 68.94 60.00°
Fractional positions:
Be: 0.7052 0.7052 0.8845
Be: 0.2948 0.2948 0.1155
Ga: 0.0000 0.0000 0.0000
U: 0.5000 0.5000 0.5000


Record 8
The following is a DFT calculation (PBE) of a relaxed BeV3Ga crystal.

Results
spin magnetization = 0.00 μB per atom
energy above the most stable polymorph in this dataset = 0.050 eV per atom
crystal system = triclinic

Cell: 4.3655 5.1028 6.9056 Å, 111.73 71.51 90.00°
Fractional positions:
V: 0.5000 0.0000 0.0000
V: 0.4016 0.5908 0.6970
V: 0.4014 0.1044 0.6971
V: 0.5984 0.4092 0.3030
V: 0.5986 0.8956 0.3029
V: 0.0000 0.0000 0.0000
Be: 0.7888 0.4612 0.9229
Be: 0.2112 0.5388 0.0771
Ga: 0.9778 0.7722 0.5447
Ga: 0.0222 0.2278 0.4553


Number 1: raw total energy -4.148 eV/atom, energy relative to the elements -12.1 kcal/mol of atoms. Number 2: raw total energy -4.141 eV/atom, energy relative to the elements -11.9 kcal/mol of atoms. Number 3: raw total energy -3.903 eV/atom, energy relative to the elements -7.8 kcal/mol of atoms. Number 4: raw total energy -3.820 eV/atom, energy relative to the elements -5.9 kcal/mol of atoms. Number 5: raw total energy -4.276 eV/atom, energy relative to the elements -0.8 kcal/mol of atoms. Number 6: raw total energy -4.415 eV/atom, energy relative to the elements -2.5 kcal/mol of atoms. Number 7: raw total energy -5.267 eV/atom, energy relative to the elements 4.0 kcal/mol of atoms. Number 8: raw total energy -6.627 eV/atom, energy relative to the elements 4.5 kcal/mol of atoms.